Record 1
DFT (PBE) results for a relaxed structure of LiNiSn2.

Output
density of states at the Fermi level: 1.429 states/eV/cell
ΔE_f: -103 meV/atom
crystal system: tetragonal

Cell: 4.495 4.495 3.563 Å, 90.00 90.00 90.00°
Space group P4/mmm (No. 123)
Symmetry-distinct sites (fractional):
Li  0.000  0.000  0.000 (multiplicity 1)
Ni  0.500  0.500  0.000 (multiplicity 1)
Sn  0.000  0.500  0.500 (multiplicity 2)

***

Record 2
DFT (PBE) results for a relaxed structure of TcHIr3.

Output
density of states at the Fermi level: 5.291 states/eV/cell
E above lowest polymorph: 10.808 eV per formula unit
crystal system: cubic

Cell: 4.706 4.706 4.706 Å, 90.00 90.00 90.00°
Space group Pm-3m (No. 221)
Symmetry-distinct sites (fractional):
Tc  0.000  0.000  0.000 (multiplicity 1)
H  0.500  0.500  0.500 (multiplicity 1)
Ir  0.000  0.000  0.500 (multiplicity 3)

***

Record 3
DFT (PBE) results for a relaxed structure of LaDy2Y4Sc.

Output
density of states at the Fermi level: 71.917 states/eV/cell
ΔE_f: 425 meV/atom
crystal system: orthorhombic

Cell: 6.776 11.703 13.117 Å, 90.00 90.00 90.00°
Space group Imma (No. 74)
Symmetry-distinct sites (fractional):
La  0.000  0.000  0.000 (multiplicity 4)
Dy  0.000  0.000  0.500 (multiplicity 4)
Dy  0.250  0.250  0.250 (multiplicity 4)
Y  0.000  0.012  0.749 (multiplicity 8)
Y  0.248  0.250  0.510 (multiplicity 8)
Sc  0.250  0.250  0.750 (multiplicity 4)

***

Record 4
DFT (PBE) results for a relaxed structure of NaHPd.

Output
density of states at the Fermi level: 2.385 states/eV/cell
final energy: -3.499 eV per atom
crystal system: monoclinic

Cell: 5.141 2.955 5.885 Å, 90.00 102.70 90.00°
Space group P2_1/m (No. 11)
Symmetry-distinct sites (fractional):
Na  0.193  0.250  0.297 (multiplicity 2)
H  0.264  0.750  0.660 (multiplicity 2)
Pd  0.343  0.250  0.824 (multiplicity 2)

***

> Among the records above, which one has the highest density of states at the Fermi level?

LaDy2Y4Sc

***

> The lowest density of states at the Fermi level belongs to which entry?

LiNiSn2

***

What did the fourth record say?
DFT (PBE) results for a relaxed structure of NaHPd.

Output
density of states at the Fermi level: 2.385 states/eV/cell
final energy: -3.499 eV per atom
crystal system: monoclinic

Cell: 5.141 2.955 5.885 Å, 90.00 102.70 90.00°
Space group P2_1/m (No. 11)
Symmetry-distinct sites (fractional):
Na  0.193  0.250  0.297 (multiplicity 2)
H  0.264  0.750  0.660 (multiplicity 2)
Pd  0.343  0.250  0.824 (multiplicity 2)

***

> Among the records above, which one has the highest density of states at the Fermi level?

LaDy2Y4Sc